DFT (PBE) results for crystalline PrTh2Ir at its relaxed geometry.

a b c (Å): 7.3424 10.0063 6.4171
angles (deg): 90.00 90.00 90.00
With the nearest neighbours (Å) after each atom.
Atoms (fractional coordinates):
Pr 0.0367 0.2500 0.1466  2 Ir 3.13-3.23
Pr 0.4633 0.7500 0.6466  2 Ir 3.13-3.23
Pr 0.5367 0.2500 0.3534  2 Ir 3.13-3.23
Pr 0.9633 0.7500 0.8534  2 Ir 3.13-3.23
Th 0.1791 0.0608 0.6592  2 Ir 2.83-2.84
Th 0.1791 0.4392 0.6592  2 Ir 2.83-2.84
Th 0.3209 0.5608 0.1592  2 Ir 2.83-2.84
Th 0.3209 0.9392 0.1592  2 Ir 2.83-2.84
Th 0.6791 0.0608 0.8408  2 Ir 2.83-2.84
Th 0.6791 0.4392 0.8408  2 Ir 2.83-2.84
Th 0.8209 0.5608 0.3408  2 Ir 2.83-2.84
Th 0.8209 0.9392 0.3408  2 Ir 2.83-2.84
Ir 0.1076 0.7500 0.3786  4 Th 2.83-2.84, 1 Pr 3.13
Ir 0.3924 0.2500 0.8786  4 Th 2.83-2.84, 1 Pr 3.13
Ir 0.6076 0.7500 0.1214  4 Th 2.83-2.84, 1 Pr 3.13
Ir 0.8924 0.2500 0.6214  4 Th 2.83-2.84, 1 Pr 3.13

raw total energy: -0.5588 Ry per atom
theoretical density: 11.2 g/cm3
space-group type: No. 62
formation energy: -483 meV/atom